Record 1
VASP calculation (PBE) on a relaxed structure of YAl2Tl.

It has space group R3m (No. 160, hexagonal axes), with a = 3.2874 Å, b = 3.2874 Å, c = 30.0821 Å, α = 90.00°, β = 90.00° and γ = 120.00°. Symmetry generates all atoms from Y at (0.0000, 0.0000, 0.0000), Al at (0.0000, 0.0000, 0.4913), Al at (0.0000, 0.0000, 0.7515) and Tl at (0.0000, 0.0000, 0.2404).

The volume comes out at 23.5 Å³ per atom. The formation energy is 1.58 kcal/mol of atoms. Its excess energy over the best structure of this formula in the dataset is 330.5 meV/atom. Its total energy is -48.1 eV per cell. For the calculated density, the calculation gives 6144 kg/m³.



Record 2
VASP calculation (PBE) on a relaxed structure of Y4AlTl3.

It has space group P4/mmm (No. 123), with a = 3.712 Å, b = 3.712 Å, c = 15.375 Å, α = 90.00°, β = 90.00° and γ = 90.00°. Symmetry generates all atoms from Y at (0.000, 0.000, 0.114), Y at (0.000, 0.000, 0.371), Al at (0.500, 0.500, 0.000), Tl at (0.500, 0.500, 0.243) and Tl at (0.500, 0.500, 0.500).

The volume comes out at 26.5 Å³ per atom. The formation energy is -8.86 kcal/mol of atoms. Its total energy is -39.8 eV per cell. For the calculated density, the calculation gives 7806 kg/m³.



Record 3
VASP calculation (PBE) on a relaxed structure of YAl2Tl2.

It has space group P4/mbm (No. 127), with a = 8.291 Å, b = 8.291 Å, c = 3.551 Å, α = 90.00°, β = 90.00° and γ = 90.00°. Symmetry generates all atoms from Y at (0.000, 0.000, 0.000), Al at (0.162, 0.338, 0.500) and Tl at (0.137, 0.637, 0.000).

The volume comes out at 24.4 Å³ per atom. The formation energy is 1.91 kcal/mol of atoms. Its excess energy over the best structure of this formula in the dataset is 70.9 meV/atom. Its total energy is -36.5 eV per cell. For the calculated density, the calculation gives 7506 kg/m³.